(w)
# PrTm2Cu | Alexandria | PBE-GGA | relaxed
# Size of the total moment: 0.00 μB/f.u.
data_PrTm2Cu
_space_group_name_H-M_alt 'R 3 m'
_space_group_IT_number 160
_space_group_name_Hall 'R 3 -2"'
_cell_length_a 3.6723
_cell_length_b 3.6723
_cell_length_c 28.9287
_cell_angle_alpha 90.00
_cell_angle_beta 90.00
_cell_angle_gamma 120.00
loop_
_atom_site_label
_atom_site_fract_x
_atom_site_fract_y
_atom_site_fract_z
Pr1 0.0000 0.0000 0.0000
Tm1 0.0000 0.0000 0.5623
Tm2 0.0000 0.0000 0.7674
Cu1 0.0000 0.0000 0.1642

=====

(x)
# PrTm2Cu | Alexandria | PBE-GGA | relaxed
# Size of the total moment: 0.00 μB/f.u.
data_PrTm2Cu
_space_group_name_H-M_alt 'P 4/m m m'
_space_group_IT_number 123
_space_group_name_Hall '-P 4 2'
_cell_length_a 3.484
_cell_length_b 3.484
_cell_length_c 8.723
_cell_angle_alpha 90.00
_cell_angle_beta 90.00
_cell_angle_gamma 90.00
loop_
_atom_site_label
_atom_site_fract_x
_atom_site_fract_y
_atom_site_fract_z
Pr1 0.000 0.000 0.000
Tm1 0.500 0.500 0.311
Cu1 0.000 0.000 0.500

=====

The energetic minimum among the shown structures is (x); the next structure lies 130 meV/atom above.